The following is a PBE-GGA calculation of CaPmHoCd after structural relaxation, from the Alexandria database.

Properties
Its crystal system is cubic. Its symmetry is F-43m, No. 216. The total energy is -3.012 eV/atom. For the density of states at the Fermi level, the calculation gives 0.859 states/eV per atom. The formation energy comes out at 0.05 eV per atom.

Cell lengths 5.5727, 5.5727, 5.5727 Å; angles 60.00, 60.00, 60.00 degrees
Closest atoms and distances in Å follow each position.
Atoms (fractional coordinates):
Ca (0.0000, 0.0000, 0.0000)  4 Cd 3.41, 4 Pm 3.41
Pm (0.2500, 0.2500, 0.2500)  4 Ho 3.41, 4 Ca 3.41
Ho (0.5000, 0.5000, 0.5000)  4 Cd 3.41, 4 Pm 3.41
Cd (0.7500, 0.7500, 0.7500)  4 Ho 3.41, 4 Ca 3.41